First-principles (PBE-GGA) data for a relaxed PmReB2 crystal, as listed in Alexandria.

Values from the calculation:
Density, g/cm³: 10.95
Crystal system: orthorhombic
Spin magnetization, μB/f.u.: 0.00
ΔE_f, eV per atom: -0.39
E_tot, eV per atom: -8.03
ΔE to the lowest computed polymorph, kJ/mol of formula units: 0

Cell lengths 5.404, 6.036, 6.562 Å; angles 90.00, 90.00, 90.00 degrees
Element x y z (fractional)
B  0.577  0.627  0.539
B  0.923  0.627  0.539
B  0.077  0.373  0.461
B  0.423  0.373  0.461
B  0.077  0.873  0.039
B  0.923  0.127  0.961
B  0.423  0.873  0.039
B  0.577  0.127  0.961
Pm  0.750  0.488  0.158
Pm  0.250  0.512  0.842
Pm  0.250  0.012  0.658
Pm  0.750  0.988  0.342
Re  0.750  0.320  0.686
Re  0.250  0.180  0.186
Re  0.250  0.680  0.314
Re  0.750  0.820  0.814